{
  "formula": "Ac4Co2I",
  "functional": "PBE-GGA",
  "state": "optimized geometry",
  "cell": [[2.1315, 1.2306, 15.4143], [-2.1315, 1.2306, 15.4143], [0.0000, -2.4613, 15.4143]],
  "species": ["Ac", "Ac", "Ac", "Ac", "Co", "Co", "I"],
  "frac_coords": [[0.1260, 0.1260, 0.1260], [0.2737, 0.2737, 0.2737], [0.7263, 0.7263, 0.7263], [0.8740, 0.8740, 0.8740], [0.4271, 0.4271, 0.4271], [0.5729, 0.5729, 0.5729], [0.0000, 0.0000, 0.0000]],
  "spacegroup": "R-3m",
  "formation_energy_uncorrected_ev_per_atom": -0.3654,
  "crystal_system": "trigonal",
  "dos_at_fermi_per_ev_fu": 4.186
}